Density functional theory data (PBE-GGA) for a relaxed structure of AlSi.

calculated volume: 15.46 Å³ per atom
total magnetic moment: 0.00 μB/f.u.
ΔE_f (raw): 0.235 eV/atom
electronic total energy: -8.7 eV for the cell shown

Lattice parameters (Å, degrees): 2.822 2.822 4.483 90.00 90.00 120.00
Sites, in units of the cell vectors:
1 Si 0.667 0.333 0.500
2 Al 0.000 0.000 0.000

=====

Density functional theory data (PBE-GGA) for a relaxed structure of AlSi.

calculated volume: 22.34 Å³ per atom
total magnetic moment: 0.00 μB/f.u.
ΔE_f (raw): 0.253 eV/atom
electronic total energy: -34.6 eV for the cell shown

Lattice parameters (Å, degrees): 6.371 6.371 4.403 90.00 90.00 90.00
Sites, in units of the cell vectors:
1 Si 0.862 0.862 0.000
2 Si 0.138 0.138 0.000
3 Al 0.744 0.744 0.500
4 Al 0.756 0.244 0.000
5 Al 0.244 0.756 0.000
6 Si 0.362 0.638 0.500
7 Al 0.256 0.256 0.500
8 Si 0.638 0.362 0.500